(1)
Here is a relaxed NbCoGeMo crystal from the Open Quantum Materials Database. Energies are from PBE-GGA.

a = 4.365 Å, b = 4.365 Å, c = 4.365 Å
α = 60.00°, β = 60.00°, γ = 60.00°
Positions (direct):
Nb1 0.000 0.000 0.000
Co1 0.750 0.750 0.750
Ge1 0.500 0.500 0.500
Mo1 0.250 0.250 0.250

Calculated values
**Space-group type**: No. 216
**Uncorrected energy**: -0.602 Ry/atom

---

(2)
Here is a relaxed Sc2SiGe3Pt2 crystal from the Open Quantum Materials Database. Energies are from PBE-GGA.

a = 5.630 Å, b = 5.630 Å, c = 6.482 Å
α = 91.34°, β = 91.34°, γ = 42.79°
Positions (direct):
Sc1 0.000 0.000 0.000
Sc2 0.191 0.191 0.506
Si1 0.749 0.749 0.781
Ge1 0.476 0.476 0.288
Ge2 0.503 0.503 0.710
Ge3 0.729 0.729 0.218
Pt1 0.261 0.261 0.986
Pt2 0.913 0.913 0.509

Calculated values
**Space-group type**: No. 8
**Uncorrected energy**: -0.460 Ry/atom

---

(3)
Here is a relaxed ErSbN2O crystal from the Open Quantum Materials Database. Energies are from PBE-GGA.

a = 5.465 Å, b = 5.566 Å, c = 5.902 Å
α = 91.58°, β = 116.23°, γ = 119.38°
Positions (direct):
Er1 0.000 0.000 0.000
Er2 0.455 0.728 0.188
Sb1 0.049 0.544 0.550
Sb2 0.430 0.214 0.640
N1 0.222 0.399 0.372
N2 0.506 0.925 0.831
N3 0.912 0.571 0.825
N4 0.966 0.819 0.354
O1 0.271 0.334 0.853
O2 0.563 0.151 0.355

Calculated values
**Space-group type**: No. 1
**Uncorrected energy**: -0.519 Ry/atom

---

Ρ across the listed records, respectively: 9.0; 8.6; 8.3 Mg/m³.